Record 1
VASP calculation (PBE-GGA) on an optimized crystal structure of Pr2BeRuO6.

Summary:
**Total energy**: -7.51 eV per atom
**V**: 112.8 Å³/f.u.
**Energy relative to the elements, uncorrected**: -2.277 eV per atom

Cell lengths 9.4780, 9.4780, 9.4780 Å; angles 33.06, 33.06, 33.06 degrees
Last column: nearest neighbours and their distance in Å.
Sites, in units of the cell vectors:
Pr 0.1300 0.1300 0.1300  12 O 2.58-2.86
Pr 0.2894 0.2894 0.2894  12 O 2.70-2.76
Pr 0.7106 0.7106 0.7106  12 O 2.70-2.76
Pr 0.8700 0.8700 0.8700  12 O 2.58-2.86
Be 0.0000 0.0000 0.0000  6 O 1.82
Be 0.5000 0.5000 0.5000  6 O 1.89
Ru 0.4130 0.4130 0.4130  6 O 1.96-2.01
Ru 0.5870 0.5870 0.5870  6 O 1.96-2.01
O 0.1256 0.6274 0.6274  1 Be 1.89, 1 Ru 2.01
O 0.1983 0.1983 0.7204  1 Be 1.82, 1 Ru 1.96
O 0.1983 0.7204 0.1983  1 Be 1.82, 1 Ru 1.96
O 0.2796 0.8017 0.8017  1 Be 1.82, 1 Ru 1.96
O 0.3726 0.3726 0.8744  1 Be 1.89, 1 Ru 2.01
O 0.3726 0.8744 0.3726  1 Be 1.89, 1 Ru 2.01
O 0.6274 0.1256 0.6274  1 Be 1.89, 1 Ru 2.01
O 0.6274 0.6274 0.1256  1 Be 1.89, 1 Ru 2.01
O 0.7204 0.1983 0.1983  1 Be 1.82, 1 Ru 1.96
O 0.8017 0.2796 0.8017  1 Be 1.82, 1 Ru 1.96
O 0.8017 0.8017 0.2796  1 Be 1.82, 1 Ru 1.96
O 0.8744 0.3726 0.3726  1 Be 1.89, 1 Ru 2.01



Record 2
VASP calculation (PBE-GGA) on an optimized crystal structure of CdSb2Rh.

Summary:
**Total energy**: -4.00 eV per atom
**V**: 85.9 Å³/f.u.
**Energy relative to the elements, uncorrected**: 0.128 eV per atom

Cell lengths 4.5778, 4.5778, 4.0984 Å; angles 90.00, 90.00, 90.00 degrees
Last column: nearest neighbours and their distance in Å.
Sites, in units of the cell vectors:
Cd 0.0000 0.0000 0.0000  8 Sb 3.07, 4 Rh 3.24
Sb 0.0000 0.5000 0.5000  4 Cd 3.07, 4 Rh 3.07, 4 Sb 3.24
Sb 0.5000 0.0000 0.5000  4 Cd 3.07, 4 Rh 3.07, 4 Sb 3.24
Rh 0.5000 0.5000 0.0000  8 Sb 3.07, 4 Cd 3.24